Below is PrBPt4 at its PBEsol-relaxed geometry, with properties calculated at the SCAN level.

ρ   15.9 g/cm³
Magnetic moment   0.0 μB/cell
Calculated formation energy   -906.0 meV/atom

Structure (POSCAR):
```
PrBPt4
1.0
5.4308 0.0000 0.0000
-2.7154 4.7032 0.0000
0.0000 0.0000 7.6297
Pr B Pt
2 2 8
direct
0.0000 0.0000 0.5000
0.0000 0.0000 0.0000
0.6667 0.3333 0.5000
0.3333 0.6667 0.5000
0.6667 0.3333 0.0000
0.5000 0.5000 0.7013
0.0000 0.5000 0.7013
0.0000 0.5000 0.2987
0.5000 0.5000 0.2987
0.5000 0.0000 0.2987
0.3333 0.6667 0.0000
0.5000 0.0000 0.7013
```